# Ca6MgGa2, relaxed, DFT PBE
# SG ... Immm
# Total magnetic moment ... 0.000 μB per cell
# Density of states at the Fermi level ... 21.5 states/eV/cell
# VASP energy ... -2.42 eV per atom
data_Ca6MgGa2
_space_group_name_H-M_alt 'P 1'
_space_group_IT_number 1
_cell_length_a 9.191
_cell_length_b 9.191
_cell_length_c 9.191
_cell_angle_alpha 114.18
_cell_angle_beta 111.75
_cell_angle_gamma 102.70
loop_
_space_group_symop_operation_xyz
'x,y,z'
loop_
_atom_site_label
_atom_site_type_symbol
_atom_site_fract_x
_atom_site_fract_y
_atom_site_fract_z
Ca1 Ca 0.048 0.246 0.802
Ca2 Ca 0.186 0.288 0.474
Ca3 Ca 0.186 0.712 0.898
Ca4 Ca 0.336 0.018 0.682
Ca5 Ca 0.336 0.654 0.318
Ca6 Ca 0.444 0.246 0.198
Ca7 Ca 0.556 0.754 0.802
Ca8 Ca 0.664 0.346 0.682
Ca9 Ca 0.664 0.982 0.318
Ca10 Ca 0.814 0.288 0.102
Ca11 Ca 0.814 0.712 0.526
Ca12 Ca 0.952 0.754 0.198
Mg1 Mg 0.000 0.000 0.000
Mg2 Mg 0.500 0.500 0.000
Ga1 Ga 0.118 0.618 0.500
Ga2 Ga 0.314 0.000 0.314
Ga3 Ga 0.686 0.000 0.686
Ga4 Ga 0.882 0.382 0.500